[1]
Here is a relaxed structure of NpInS from Alexandria. Energies are from PBE-GGA.

Cell lengths 19.280, 3.783, 4.011 Å; angles 90.00, 90.00, 90.00 degrees
Sites, in units of the cell vectors:
1 Np 0.174 0.250 0.246
2 Np 0.326 0.750 0.746
3 Np 0.674 0.250 0.254
4 Np 0.826 0.750 0.754
5 In 0.032 0.750 0.250
6 In 0.468 0.250 0.750
7 In 0.532 0.750 0.250
8 In 0.968 0.250 0.750
9 S 0.185 0.750 0.746
10 S 0.315 0.250 0.246
11 S 0.685 0.750 0.754
12 S 0.815 0.250 0.254

## Properties
Raw formation energy (kJ/mol of formula units): -212
Total moment (μB/atom): 1.4030
Space-group type: Pnma, No. 62
Uncorrected energy (eV per atom): -7.34


[2]
Here is a relaxed structure of Np2InS4 from Alexandria. Energies are from PBE-GGA.

Cell lengths 6.936, 6.936, 13.484 Å; angles 90.00, 90.00, 146.40 degrees
Sites, in units of the cell vectors:
1 Np 0.134 0.866 0.564
2 Np 0.134 0.866 0.936
3 Np 0.866 0.134 0.064
4 Np 0.866 0.134 0.436
5 In 0.405 0.595 0.750
6 In 0.595 0.405 0.250
7 S 0.068 0.932 0.750
8 S 0.240 0.760 0.107
9 S 0.240 0.760 0.393
10 S 0.500 0.500 0.000
11 S 0.500 0.500 0.500
12 S 0.760 0.240 0.607
13 S 0.760 0.240 0.893
14 S 0.932 0.068 0.250

## Properties
Raw formation energy (kJ/mol of formula units): -731
Total moment (μB/atom): 1.0000
Space-group type: Cmcm, No. 63
Uncorrected energy (eV per atom): -7.53


[3]
Here is a relaxed structure of NpInSeS from Alexandria. Energies are from PBE-GGA.

Cell lengths 8.021, 8.021, 8.021 Å; angles 29.68, 29.68, 29.68 degrees
Sites, in units of the cell vectors:
1 Np 0.000 0.000 0.000
2 In 0.832 0.832 0.832
3 Se 0.408 0.408 0.408
4 S 0.609 0.609 0.609

## Properties
Raw formation energy (kJ/mol of formula units): -336
Total moment (μB/atom): 1.0000
Space-group type: R3m, No. 160
Uncorrected energy (eV per atom): -6.69


[4]
Here is a relaxed structure of Sr2NpInS6 from Alexandria. Energies are from PBE-GGA.

Cell lengths 6.877, 7.335, 12.010 Å; angles 90.00, 124.00, 90.00 degrees
Sites, in units of the cell vectors:
1 Sr 0.218 0.082 0.246
2 Sr 0.218 0.418 0.746
3 Sr 0.782 0.582 0.254
4 Sr 0.782 0.918 0.754
5 Np 0.500 0.000 0.000
6 Np 0.500 0.500 0.500
7 In 0.000 0.000 0.500
8 In 0.000 0.500 0.000
9 S 0.142 0.192 0.948
10 S 0.142 0.308 0.448
11 S 0.258 0.699 0.944
12 S 0.258 0.801 0.444
13 S 0.360 0.029 0.751
14 S 0.360 0.471 0.251
15 S 0.640 0.529 0.749
16 S 0.640 0.971 0.249
17 S 0.742 0.199 0.556
18 S 0.742 0.301 0.056
19 S 0.858 0.692 0.552
20 S 0.858 0.808 0.052

## Properties
Raw formation energy (kJ/mol of formula units): -1318
Total moment (μB/atom): 0.2000
Space-group type: P2_1/c, No. 14
Uncorrected energy (eV per atom): -5.75


[5]
Here is a relaxed structure of Np2TaIn2S6 from Alexandria. Energies are from PBE-GGA.

Cell lengths 6.590, 6.590, 7.862 Å; angles 98.20, 98.20, 119.68 degrees
Sites, in units of the cell vectors:
1 Np 0.165 0.835 0.000
2 Np 0.835 0.165 0.000
3 Ta 0.500 0.500 0.000
4 In 0.328 0.672 0.500
5 In 0.672 0.328 0.500
6 S 0.124 0.434 0.804
7 S 0.264 0.264 0.202
8 S 0.434 0.124 0.804
9 S 0.566 0.876 0.196
10 S 0.736 0.736 0.798
11 S 0.876 0.566 0.196

## Properties
Raw formation energy (kJ/mol of formula units): -992
Total moment (μB/atom): 0.8210
Space-group type: C2/m, No. 12
Uncorrected energy (eV per atom): -7.11


[6]
Here is a relaxed structure of NpTl2InS5 from Alexandria. Energies are from PBE-GGA.

Cell lengths 9.372, 9.372, 13.920 Å; angles 90.00, 90.00, 155.19 degrees
Sites, in units of the cell vectors:
1 Np 0.211 0.789 0.500
2 Np 0.789 0.211 0.000
3 Tl 0.104 0.896 0.141
4 Tl 0.126 0.874 0.793
5 Tl 0.874 0.126 0.293
6 Tl 0.896 0.104 0.641
7 In 0.440 0.560 0.902
8 In 0.560 0.440 0.402
9 S 0.059 0.941 0.514
10 S 0.284 0.716 0.119
11 S 0.301 0.699 0.872
12 S 0.344 0.656 0.478
13 S 0.497 0.503 0.253
14 S 0.503 0.497 0.753
15 S 0.656 0.344 0.978
16 S 0.699 0.301 0.372
17 S 0.716 0.284 0.619
18 S 0.941 0.059 0.014

## Properties
Raw formation energy (kJ/mol of formula units): -597
Total moment (μB/atom): 0.2223
Space-group type: Cmc2_1, No. 36
Uncorrected energy (eV per atom): -5.25


[7]
Here is a relaxed structure of Np2Tl3InS6 from Alexandria. Energies are from PBE-GGA.

Cell lengths 7.138, 7.138, 7.711 Å; angles 98.57, 98.57, 118.93 degrees
Sites, in units of the cell vectors:
1 Np 0.169 0.831 0.000
2 Np 0.831 0.169 0.000
3 Tl 0.000 0.000 0.500
4 Tl 0.346 0.654 0.500
5 Tl 0.654 0.346 0.500
6 In 0.500 0.500 0.000
7 S 0.057 0.430 0.794
8 S 0.195 0.195 0.189
9 S 0.430 0.057 0.794
10 S 0.570 0.943 0.206
11 S 0.805 0.805 0.811
12 S 0.943 0.570 0.206

## Properties
Raw formation energy (kJ/mol of formula units): -967
Total moment (μB/atom): 0.5037
Space-group type: C2/m, No. 12
Uncorrected energy (eV per atom): -5.88


[8]
Here is a relaxed structure of NpTlInS4 from Alexandria. Energies are from PBE-GGA.

Cell lengths 8.293, 8.293, 8.293 Å; angles 122.45, 118.72, 89.02 degrees
Sites, in units of the cell vectors:
1 Np 0.000 0.000 0.000
2 Np 0.500 0.000 0.500
3 Tl 0.387 0.637 0.750
4 Tl 0.613 0.363 0.250
5 In 0.000 0.000 0.500
6 In 0.000 0.500 0.000
7 S 0.187 0.232 0.955
8 S 0.223 0.768 0.455
9 S 0.238 0.199 0.462
10 S 0.238 0.776 0.038
11 S 0.762 0.224 0.962
12 S 0.762 0.801 0.538
13 S 0.777 0.232 0.545
14 S 0.813 0.768 0.045

## Properties
Raw formation energy (kJ/mol of formula units): -502
Total moment (μB/atom): 0.4262
Space-group type: Imma, No. 74
Uncorrected energy (eV per atom): -5.68